Record 1
## ZnTePd3 (GGA-PBE)

Data for ZnTePd3 after structural relaxation.

## Properties
Space-group type: Pnma (62)
Raw total energy: -4.4086 eV per atom
Calculated volume: 17.3 A^3/atom
Density: 9.853 g/cm³

Unit cell a=5.637 b=4.175 c=14.673 alpha=90.00 beta=90.00 gamma=90.00
Sites, in units of the cell vectors:
Pd 0.775 0.250 0.077
Pd 0.095 0.750 0.142
Pd 0.386 0.250 0.232
Pd 0.886 0.250 0.268
Pd 0.595 0.750 0.358
Pd 0.275 0.250 0.423
Pd 0.725 0.750 0.577
Pd 0.405 0.250 0.642
Pd 0.114 0.750 0.732
Pd 0.614 0.750 0.768
Pd 0.905 0.250 0.858
Pd 0.225 0.750 0.923
Te 0.276 0.250 0.051
Te 0.776 0.250 0.449
Te 0.224 0.750 0.551
Te 0.724 0.750 0.949
Zn 0.643 0.750 0.184
Zn 0.143 0.750 0.316
Zn 0.857 0.250 0.684
Zn 0.357 0.250 0.816



Record 2
## TlPd3S5 (GGA-PBE)

Data for TlPd3S5 after structural relaxation.

## Properties
Space-group type: P6/mmm (191)
Raw total energy: -4.3866 eV per atom
Calculated volume: 22.7 A^3/atom
Density: 5.553 g/cm³

Unit cell a=5.962 b=5.962 c=6.645 alpha=90.00 beta=90.00 gamma=120.00
Sites, in units of the cell vectors:
Pd 0.500 0.000 0.500
Pd 0.000 0.500 0.500
Pd 0.500 0.500 0.500
S 0.667 0.333 0.257
S 0.333 0.667 0.257
S 0.000 0.000 0.500
S 0.667 0.333 0.743
S 0.333 0.667 0.743
Tl 0.000 0.000 0.000



Record 3
## BaAcU (GGA-PBE)

Data for BaAcU after structural relaxation.

## Properties
Space-group type: F-43m (216)
Polymorph energy (0 for the lowest one): 0.000 eV/f.u.
Raw total energy: -4.3234 eV per atom
Calculated volume: 47.9 A^3/atom
Density: 6.960 g/cm³

Unit cell a=5.880 b=5.880 c=5.880 alpha=60.00 beta=60.00 gamma=60.00
Sites, in units of the cell vectors:
Ac 0.250 0.250 0.250
Ba 0.750 0.750 0.750
U 0.000 0.000 0.000